Compound: KMoIO2
Source: Alexandria via LeMat-Bulk
Functional: PBE with a Hubbard U
Structure: optimized geometry

Summary:
**DOS(E_F)**: 2.1 states/eV per cell
**Energy above the lowest structure with this stoichiometry**: 0.00 eV/f.u.
**Symmetry**: P4/mmm
**Energy**: -4.889 eV per atom

abc: 4.2060 4.2060 5.8145
angles: 90.00 90.00 90.00
Atoms (fractional coordinates):
K 0.0000 0.0000 0.0000
Mo 0.5000 0.5000 0.5000
I 0.5000 0.5000 0.0000
O 0.0000 0.5000 0.5000
O 0.5000 0.0000 0.5000